No. 1
The following is a PBE calculation of crystalline GePSe2Br at its relaxed geometry, from Alexandria.

Cell lengths 4.937, 4.937, 4.926 Å; angles 90.00, 90.00, 90.00 degrees
Atoms (fractional coordinates):
Se  0.000  0.500  0.000
Se  0.500  0.000  0.000
P  0.000  0.000  0.000
Ge  0.500  0.500  0.500
Br  0.000  0.000  0.500

Properties
**Excess energy over the best structure of this formula in the dataset**: 0.0 meV/atom
**DOS(E_F)**: 0.565 states/eV/atom
**Crystal system**: tetragonal
**Space group**: No. 123


No. 2
The following is a PBE calculation of crystalline SrMo2Au at its relaxed geometry, from Alexandria.

Cell lengths 4.370, 4.370, 10.829 Å; angles 78.36, 78.36, 90.00 degrees
Atoms (fractional coordinates):
Sr  0.250  0.750  0.500
Mo  0.779  0.125  0.250
Mo  0.875  0.029  0.750
Au  0.750  0.250  0.500
Sr  0.500  0.500  0.000
Mo  0.375  0.221  0.750
Au  0.000  0.000  0.000
Mo  0.971  0.625  0.250

Properties
**Excess energy over the best structure of this formula in the dataset**: 505.6 meV/atom
**DOS(E_F)**: 1.061 states/eV/atom
**DFT formation energy**: 782 meV/atom
**Crystal system**: tetragonal
**Space group**: No. 122


No. 3
The following is a PBE calculation of crystalline MgSc2F at its relaxed geometry, from Alexandria.

Cell lengths 6.789, 6.789, 6.023 Å; angles 55.69, 55.69, 90.00 degrees
Atoms (fractional coordinates):
Sc  0.375  0.490  0.750
Mg  0.000  0.000  0.000
F  0.250  0.750  0.500
Mg  0.750  0.250  0.500
Sc  0.875  0.760  0.750
Sc  0.510  0.125  0.250
Sc  0.240  0.625  0.250
F  0.500  0.500  0.000

Properties
**Excess energy over the best structure of this formula in the dataset**: 0.0 meV/atom
**DOS(E_F)**: 1.061 states/eV/atom
**Crystal system**: tetragonal
**Space group**: No. 122


Number 1: M_tot 0.0 μB/f.u., total energy -3.364 eV/atom. Number 2: M_tot 0.0 μB/f.u., total energy -5.873 eV/atom. Number 3: M_tot 0.0 μB/f.u., total energy -5.031 eV/atom.